# KBaBe2 (GGA-PBE, relaxed)
# Symmetry = No. 122
# Formation enthalpy at 0 K = 1.14 eV per atom
# Relative energy among the computed polymorphs = 609.0 meV per atom
data_KBaBe2
_chemical_formula_sum 'K2 Ba2 Be4'
_cell_length_a 8.8082
_cell_length_b 8.8082
_cell_length_c 7.1652
_cell_angle_alpha 52.07
_cell_angle_beta 52.07
_cell_angle_gamma 90.00
_symmetry_space_group_name_H-M 'P 1'
_symmetry_Int_Tables_number 1
loop_
_symmetry_equiv_pos_as_xyz
'x,y,z'
loop_
_atom_site_label
_atom_site_fract_x
_atom_site_fract_y
_atom_site_fract_z
Be1 0.1276 0.6250 0.2500
Be2 0.6224 0.1250 0.2500
Be3 0.3750 0.3776 0.7500
Be4 0.8750 0.8724 0.7500
K1 0.2500 0.7500 0.5000
K2 0.5000 0.5000 0.0000
Ba1 0.7500 0.2500 0.5000
Ba2 0.0000 0.0000 0.0000



# KBaBe3 (GGA-PBE, relaxed)
# Symmetry = No. 221
# Formation enthalpy at 0 K = 1.59 eV per atom
# Relative energy among the computed polymorphs = 0.0 meV per atom
data_KBaBe3
_chemical_formula_sum 'K1 Ba1 Be3'
_cell_length_a 5.4703
_cell_length_b 5.4703
_cell_length_c 5.4703
_cell_angle_alpha 90.00
_cell_angle_beta 90.00
_cell_angle_gamma 90.00
_symmetry_space_group_name_H-M 'P 1'
_symmetry_Int_Tables_number 1
loop_
_symmetry_equiv_pos_as_xyz
'x,y,z'
loop_
_atom_site_label
_atom_site_fract_x
_atom_site_fract_y
_atom_site_fract_z
Ba1 0.5000 0.5000 0.5000
Be1 0.0000 0.0000 0.5000
Be2 0.5000 0.0000 0.0000
Be3 0.0000 0.5000 0.0000
K1 0.0000 0.0000 0.0000



# KBaBeO2 (GGA-PBE, relaxed)
# Symmetry = No. 13
# ΔE_f (raw) = -1.908 eV per atom
data_KBaBeO2
_chemical_formula_sum 'K2 Ba2 Be2 O4'
_cell_length_a 5.8929
_cell_length_b 7.7194
_cell_length_c 8.0981
_cell_angle_alpha 121.77
_cell_angle_beta 90.00
_cell_angle_gamma 90.00
_symmetry_space_group_name_H-M 'P 1'
_symmetry_Int_Tables_number 1
loop_
_symmetry_equiv_pos_as_xyz
'x,y,z'
loop_
_atom_site_label
_atom_site_fract_x
_atom_site_fract_y
_atom_site_fract_z
O1 0.7760 0.0883 0.5442
O2 0.7760 0.9117 0.9558
O3 0.2240 0.9117 0.4558
O4 0.2240 0.0883 0.0442
Ba1 0.5002 0.0000 0.7500
Ba2 0.4998 0.0000 0.2500
Be1 0.0000 0.0000 0.0000
Be2 0.0000 0.0000 0.5000
K1 0.1695 0.5000 0.2500
K2 0.8305 0.5000 0.7500



# K2BaBe2O4 (GGA-PBE, relaxed)
# Symmetry = No. 12
# ΔE_f (raw) = -2.033 eV per atom
data_K2BaBe2O4
_chemical_formula_sum 'K2 Ba1 Be2 O4'
_cell_length_a 3.4126
_cell_length_b 7.5185
_cell_length_c 7.0217
_cell_angle_alpha 121.86
_cell_angle_beta 104.06
_cell_angle_gamma 90.00
_symmetry_space_group_name_H-M 'P 1'
_symmetry_Int_Tables_number 1
loop_
_symmetry_equiv_pos_as_xyz
'x,y,z'
loop_
_atom_site_label
_atom_site_fract_x
_atom_site_fract_y
_atom_site_fract_z
K1 0.8759 0.4228 0.7518
K2 0.1241 0.5772 0.2482
O1 0.2208 0.0996 0.4417
O2 0.7792 0.9004 0.5583
O3 0.5404 0.7737 0.0808
O4 0.4596 0.2263 0.9192
Be1 0.3256 0.0626 0.6511
Be2 0.6744 0.9374 0.3489
Ba1 0.0000 0.0000 0.0000



# KBaBePb2 (GGA-PBE, relaxed)
# Symmetry = No. 123
# Formation enthalpy at 0 K = 1.20 eV per atom
data_KBaBePb2
_chemical_formula_sum 'K1 Ba1 Be1 Pb2'
_cell_length_a 6.3638
_cell_length_b 7.3027
_cell_length_c 6.3638
_cell_angle_alpha 90.00
_cell_angle_beta 90.00
_cell_angle_gamma 90.00
_symmetry_space_group_name_H-M 'P 1'
_symmetry_Int_Tables_number 1
loop_
_symmetry_equiv_pos_as_xyz
'x,y,z'
loop_
_atom_site_label
_atom_site_fract_x
_atom_site_fract_y
_atom_site_fract_z
Pb1 0.0000 0.0000 0.5000
Pb2 0.5000 0.0000 0.0000
Be1 0.5000 0.5000 0.5000
Ba1 0.0000 0.0000 0.0000
K1 0.0000 0.5000 0.0000



# K2BaBe2S4 (GGA-PBE, relaxed)
# Symmetry = No. 12
# ΔE_f (raw) = -1.255 eV per atom
data_K2BaBe2S4
_chemical_formula_sum 'K2 Ba1 Be2 S4'
_cell_length_a 3.9428
_cell_length_b 8.7170
_cell_length_c 8.3267
_cell_angle_alpha 120.48
_cell_angle_beta 103.70
_cell_angle_gamma 90.00
_symmetry_space_group_name_H-M 'P 1'
_symmetry_Int_Tables_number 1
loop_
_symmetry_equiv_pos_as_xyz
'x,y,z'
loop_
_atom_site_label
_atom_site_fract_x
_atom_site_fract_y
_atom_site_fract_z
Be1 0.6736 0.9517 0.3472
Be2 0.3264 0.0483 0.6528
K1 0.1189 0.5839 0.2378
K2 0.8811 0.4161 0.7622
S1 0.5289 0.7568 0.0577
S2 0.7804 0.8796 0.5607
S3 0.4711 0.2432 0.9423
S4 0.2196 0.1204 0.4393
Ba1 0.0000 0.0000 0.0000



Number 1: volume 34.35 Å³ per atom, uncorrected energy -1.48 eV per atom, total magnetization 0.0 μB per formula unit. Number 2: volume 32.74 Å³ per atom, uncorrected energy -1.25 eV per atom, total magnetization 0.0 μB per formula unit. Number 3: volume 31.32 Å³ per atom, uncorrected energy -5.24 eV per atom, total magnetization 0.0 μB per formula unit. Number 4: volume 16.29 Å³ per atom, uncorrected energy -5.52 eV per atom, total magnetization 0.0 μB per formula unit. Number 5: volume 59.15 Å³ per atom, uncorrected energy -1.63 eV per atom, total magnetization 0.0 μB per formula unit. Number 6: volume 26.35 Å³ per atom, uncorrected energy -4.37 eV per atom, total magnetization 0.0 μB per formula unit.